# 1
13
Lattice="-7.0757 7.0757 2.3347 7.0757 -7.0757 2.3347 7.0757 7.0757 -2.3347" Properties=species:S:1:pos:R:3 comment="Cs5Cd4As4 GGA-PBE relaxed" formation_energy_ev_per_atom=-0.3256 dos_ef_per_ev_cell=2.82 pbc="T T T"
Cs 0.0000 0.0000 0.0000
Cs 5.1152 4.1599 0.0000
Cs 2.9159 -1.9605 2.3347
Cs 4.1599 9.0362 0.0000
Cs 1.9605 2.9159 2.3347
Cd 8.1601 1.5054 0.0000
Cd 1.5054 5.9913 0.0000
Cd 5.5703 1.0844 2.3347
Cd -1.0844 5.5703 2.3347
As 4.1690 0.5627 0.0000
As 6.5130 -2.9068 2.3347
As 0.5627 9.9825 0.0000
As 2.9068 6.5130 2.3347

# 2
5
Lattice="4.8568 0.0000 0.0000 0.0000 4.8568 0.0000 0.0000 0.0000 4.8568" Properties=species:S:1:pos:R:3 comment="Co3SbH GGA-PBE relaxed" e_above_lowest_polymorph_mev_per_atom=1727.7 dos_ef_per_ev_cell=1.32 pbc="T T T"
Co 0.0000 0.0000 2.4284
Co 0.0000 2.4284 0.0000
Co 2.4284 0.0000 0.0000
Sb 0.0000 0.0000 0.0000
H 2.4284 2.4284 2.4284

# 3
16
Lattice="4.8629 0.0000 0.0000 0.0000 5.4045 0.0000 0.0000 0.0000 9.2213" Properties=species:S:1:pos:R:3 comment="ZnMo GGA-PBE relaxed" formation_energy_ev_per_atom=0.1377 e_above_lowest_polymorph_mev_per_atom=75.9 dos_ef_per_ev_cell=4.60 pbc="T T T"
Zn 0.0259 0.6318 2.3800
Zn 1.0515 1.9917 9.0770
Zn 1.3799 3.4128 4.4663
Zn 2.4056 4.7727 6.9906
Zn 2.4573 2.0705 6.8413
Zn 3.4830 0.7106 0.1443
Zn 3.8113 4.6939 4.7549
Zn 4.8370 3.3340 2.2306
Mo 0.0208 3.3396 6.8378
Mo 1.0875 4.6810 0.1938
Mo 1.3439 0.7236 4.8045
Mo 2.4106 2.0650 2.2271
Mo 2.4522 4.7672 2.3835
Mo 3.5190 3.4258 9.0274
Mo 3.7753 1.9787 4.4168
Mo 4.8421 0.6373 6.9941

# 4
12
Lattice="3.4613 -6.0134 0.0000 3.4613 6.0134 0.0000 -2.3129 0.0000 6.5390" Properties=species:S:1:pos:R:3 comment="Pm3PrDy2S6 GGA-PBE relaxed" raw_formation_energy_mev_per_atom=-2019 dos_ef_per_ev_cell=5.01 pbc="T T T"
Pm 0.0000 0.0000 0.0000
Pm 3.4613 1.9438 0.0000
Pm 3.4613 -1.9438 0.0000
Pr 2.3048 0.0000 3.2695
Dy 2.3048 4.0155 3.2695
Dy 2.3048 -4.0155 3.2695
S 1.1150 2.0709 1.6667
S -0.0795 0.0000 4.8446
S 1.1150 -2.0709 1.6667
S 3.4947 2.0709 4.8723
S 4.6891 0.0000 1.6943
S 3.4947 -2.0709 4.8723

# 5
8
Lattice="7.3230 0.0000 0.0000 0.0000 4.2455 0.0000 -2.6239 0.0000 6.9865" Properties=species:S:1:pos:R:3 comment="Ba2DyAgS4 GGA-PBE relaxed" raw_formation_energy_mev_per_atom=-1591 pbc="T T T"
Ba 0.0000 0.0000 0.0000
Ba -1.3120 2.1228 3.4932
Dy 2.3495 0.0000 3.4932
Ag 3.6615 2.1228 0.0000
S 1.3272 2.1228 1.9373
S 0.1601 0.0000 5.2410
S 4.5390 0.0000 1.7455
S 3.3719 2.1228 5.0492

# 6
10
Lattice="4.1923 -5.7168 0.0000 4.1923 5.7168 0.0000 0.0000 0.0000 7.2304" Properties=species:S:1:pos:R:3 comment="Sm2DyHoTm GGA-PBE relaxed" formation_energy_ev_per_atom=0.4141 dos_ef_per_ev_cell=14.39 pbc="T T T"
Sm 1.6235 0.0000 0.0000
Sm 1.6235 0.0000 3.6152
Sm 6.7611 0.0000 0.0000
Sm 6.7611 0.0000 3.6152
Dy 4.1923 3.1337 5.4228
Dy 4.1923 -3.1337 1.8076
Ho 4.1923 3.1209 1.8076
Ho 4.1923 -3.1209 5.4228
Tm 4.1923 0.0154 5.4228
Tm 4.1923 -0.0154 1.8076

# 7
4
Lattice="0.0000 4.3821 4.3821 4.3821 0.0000 4.3821 4.3821 4.3821 0.0000" Properties=species:S:1:pos:R:3 comment="Ba2LiCl GGA-PBE relaxed" e_above_lowest_polymorph_mev_per_atom=631.7 raw_formation_energy_mev_per_atom=-208 dos_ef_per_ev_cell=4.24 pbc="T T T"
Ba 0.0000 0.0000 0.0000
Ba 2.1911 2.1911 2.1911
Li 6.5732 6.5732 6.5732
Cl 4.3821 4.3821 4.3821

# 8
8
Lattice="4.9278 0.0000 0.0000 0.0000 4.9278 0.0000 0.0000 0.0000 9.8027" Properties=species:S:1:pos:R:3 comment="Pm6SnHg GGA-PBE relaxed" formation_energy_ev_per_atom=-0.3093 dos_ef_per_ev_cell=13.27 pbc="T T T"
Pm 0.0000 0.0000 0.0000
Pm 0.0000 0.0000 4.9014
Pm 0.0000 2.4639 2.4389
Pm 0.0000 2.4639 7.3638
Pm 2.4639 0.0000 2.4389
Pm 2.4639 0.0000 7.3638
Sn 2.4639 2.4639 0.0000
Hg 2.4639 2.4639 4.9014

# 9
5
Lattice="4.4878 0.0000 0.0000 0.0000 4.4878 0.0000 0.0000 0.0000 4.6373" Properties=species:S:1:pos:R:3 comment="VFePS2 GGA-PBE relaxed" e_above_lowest_polymorph_mev_per_atom=0.0 raw_formation_energy_mev_per_atom=442 dos_ef_per_ev_cell=5.95 pbc="T T T"
V 0.0000 0.0000 0.0000
Fe 2.2439 2.2439 2.3186
P 0.0000 0.0000 2.3186
S 0.0000 2.2439 0.0000
S 2.2439 0.0000 0.0000

# 10
4
Lattice="3.2470 0.0000 0.0000 0.0000 3.3094 0.0000 -0.0140 0.0000 6.0935" Properties=species:S:1:pos:R:3 comment="Mg2IrAu GGA-PBE relaxed" formation_energy_ev_per_atom=-0.4791 dos_ef_per_ev_cell=0.62 pbc="T T T"
Mg -0.0018 0.0000 1.4207
Mg 3.2347 0.0000 4.6728
Ir 1.6235 1.6547 0.0000
Au 1.6165 1.6547 3.0468

# 11
4
Lattice="4.1287 -1.4872 0.0000 4.1287 1.4872 0.0000 -1.3200 0.0000 5.5983" Properties=species:S:1:pos:R:3 comment="ZnPAu2 GGA-PBE relaxed" formation_energy_ev_per_atom=0.1176 e_above_lowest_polymorph_mev_per_atom=45.8 dos_ef_per_ev_cell=1.29 pbc="T T T"
Zn 0.0000 0.0000 0.0000
P 3.4687 0.0000 2.7991
Au 1.1036 0.0000 4.2184
Au 5.8338 0.0000 1.3799

# 12
20
Lattice="4.5791 -7.6475 0.0000 4.5791 7.6475 0.0000 -1.4456 0.0000 9.6818" Properties=species:S:1:pos:R:3 comment="TbNd2Sm6Er GGA-PBE relaxed" formation_energy_ev_per_atom=0.1156 dos_ef_per_ev_cell=28.29 pbc="T T T"
Tb 3.4949 7.3497 7.2614
Tb 4.2177 -7.3497 2.4205
Nd 1.4796 0.7839 5.2493
Nd 2.2024 -0.7839 0.4083
Nd 5.5103 0.7839 9.2735
Nd 6.2331 -0.7839 4.4326
Sm 1.7117 4.2573 6.6696
Sm 3.9244 4.7920 0.5401
Sm 4.5110 4.7920 4.3009
Sm 2.3613 1.6097 8.5246
Sm 5.2781 4.2573 7.8531
Sm 4.6285 1.6097 5.9981
Sm 3.0841 -1.6097 3.6837
Sm 2.4345 -4.2573 1.8287
Sm 5.3513 -1.6097 1.1572
Sm 3.2016 -4.7920 5.3810
Sm 3.7882 -4.7920 9.1418
Sm 6.0009 -4.2573 3.0122
Er 4.2177 1.4051 2.4205
Er 3.4949 -1.4051 7.2614

# 13
4
Lattice="4.1143 0.0000 0.0000 0.0000 1.9781 5.4077 0.0000 -1.9781 5.4077" Properties=species:S:1:pos:R:3 comment="NdYNiIr GGA-PBE relaxed" formation_energy_ev_per_atom=-0.5678 e_above_lowest_polymorph_mev_per_atom=0.0 dos_ef_per_ev_cell=2.44 pbc="T T T"
Nd 0.0000 0.0000 0.0000
Y 2.0571 0.0000 7.7432
Ni 2.0571 0.0000 4.6218
Ir 0.0000 0.0000 3.0203

# 14
6
Lattice="2.1456 -7.3361 0.0000 2.1456 7.3361 0.0000 0.0000 0.0000 7.7345" Properties=species:S:1:pos:R:3 comment="Ba2Pt GGA-PBE relaxed" formation_energy_ev_per_atom=-0.5642 dos_ef_per_ev_cell=3.04 pbc="T T T"
Ba 2.1456 7.2687 3.8673
Ba 2.1456 3.4586 2.5954
Ba 2.1456 -3.4586 6.4626
Ba 2.1456 -7.2687 0.0000
Pt 2.1456 1.7115 5.5505
Pt 2.1456 -1.7115 1.6833

# 15
10
Lattice="-4.0342 4.0342 6.3751 4.0342 -4.0342 6.3751 4.0342 4.0342 -6.3751" Properties=species:S:1:pos:R:3 comment="Cs2HgHI6 GGA-PBE relaxed" dos_ef_per_ev_cell=8.36 pbc="T T T"
Cs 4.0342 0.0000 3.1875
Cs 0.0000 4.0342 3.1875
Hg 0.0000 0.0000 0.0000
H 0.0000 0.0000 6.3751
I 0.0000 0.0000 2.7991
I 2.2538 2.2538 0.0000
I 1.7804 -1.7804 6.3751
I -1.7804 1.7804 6.3751
I 1.7804 1.7804 6.3751
I 0.0000 0.0000 9.9511

# 16
4
Lattice="0.0000 3.5834 3.5834 3.5834 0.0000 3.5834 3.5834 3.5834 0.0000" Properties=species:S:1:pos:R:3 comment="PmLuNiHg GGA-PBE relaxed" formation_energy_ev_per_atom=-0.3272 dos_ef_per_ev_cell=3.41 pbc="T T T"
Pm 0.0000 0.0000 0.0000
Lu 3.5834 3.5834 3.5834
Ni 1.7917 1.7917 1.7917
Hg 5.3750 5.3750 5.3750

# 17
12
Lattice="6.6713 -1.9834 0.0000 6.6713 1.9834 0.0000 -3.1582 0.0000 11.4914" Properties=species:S:1:pos:R:3 comment="Sc5Te5S2 GGA-PBE relaxed" raw_formation_energy_mev_per_atom=-1335 dos_ef_per_ev_cell=3.53 pbc="T T T"
Sc 0.0000 0.0000 0.0000
Sc 0.1365 0.0000 4.5508
Sc 3.7382 0.0000 2.2669
Sc 6.4463 0.0000 9.2245
Sc 10.0480 0.0000 6.9407
Te 1.2733 0.0000 7.3653
Te 1.4962 0.0000 10.8686
Te 5.0922 0.0000 5.7457
Te 8.6883 0.0000 0.6228
Te 8.9112 0.0000 4.1261
S -1.9961 0.0000 9.1311
S 12.1806 0.0000 2.3604

# 18
4
Lattice="5.3064 0.0000 0.0000 0.0000 5.3064 0.0000 0.0000 0.0000 5.0463" Properties=species:S:1:pos:R:3 comment="Ac2CeSc GGA-PBE relaxed" formation_energy_ev_per_atom=0.1641 e_above_lowest_polymorph_mev_per_atom=16.0 dos_ef_per_ev_cell=9.61 pbc="T T T"
Ac 0.0000 2.6532 0.0000
Ac 2.6532 0.0000 0.0000
Ce 0.0000 0.0000 2.5231
Sc 2.6532 2.6532 2.5231

# 19
5
Lattice="4.6680 0.0000 0.0000 0.0000 4.6680 0.0000 0.0000 0.0000 4.6680" Properties=species:S:1:pos:R:3 comment="Al3CuS GGA-PBE relaxed" e_above_lowest_polymorph_mev_per_atom=488.8 raw_formation_energy_mev_per_atom=592 dos_ef_per_ev_cell=1.32 pbc="T T T"
Al 0.0000 0.0000 2.3340
Al 0.0000 2.3340 0.0000
Al 2.3340 0.0000 0.0000
Cu 2.3340 2.3340 2.3340
S 0.0000 0.0000 0.0000

# 20
4
Lattice="1.2910 0.7454 5.8066 -1.2910 0.7454 5.8066 0.0000 -1.4907 5.8066" Properties=species:S:1:pos:R:3 comment="BPdO2 GGA-PBE relaxed" raw_formation_energy_mev_per_atom=-899 dos_ef_per_ev_cell=0.60 pbc="T T T"
B 0.0000 0.0000 0.0000
Pd 0.0000 0.0000 8.7098
O 0.0000 0.0000 6.6636
O 0.0000 0.0000 10.7560

# 21
5
Lattice="4.9964 0.0000 0.0000 0.0000 4.9964 0.0000 0.0000 0.0000 5.4068" Properties=species:S:1:pos:R:3 comment="BaVBCl2 GGA-PBE relaxed" raw_formation_energy_mev_per_atom=715 dos_ef_per_ev_cell=1.90 pbc="T T T"
Ba 0.0000 0.0000 0.0000
V 2.4982 2.4982 0.0000
B 0.0000 0.0000 2.7034
Cl 0.0000 2.4982 2.7034
Cl 2.4982 0.0000 2.7034

# 22
3
Lattice="-1.6117 1.6117 5.5340 1.6117 -1.6117 5.5340 1.6117 1.6117 -5.5340" Properties=species:S:1:pos:R:3 comment="TaReTe GGA-PBE relaxed" e_above_lowest_polymorph_mev_per_atom=210.0 raw_formation_energy_mev_per_atom=380 dos_ef_per_ev_cell=2.88 pbc="T T T"
Ta 0.0000 0.0000 0.0000
Re 0.0000 0.0000 6.9731
Te 0.0000 0.0000 3.4129

# 23
8
Lattice="3.9974 0.0000 0.0000 0.0000 3.9974 0.0000 0.0000 0.0000 8.0693" Properties=species:S:1:pos:R:3 comment="MnSbPt6 GGA-PBE relaxed" raw_formation_energy_mev_per_atom=-295 dos_ef_per_ev_cell=5.51 pbc="T T T"
Mn 0.0000 0.0000 0.0000
Sb 0.0000 0.0000 4.0346
Pt 0.0000 1.9987 1.9351
Pt 0.0000 1.9987 6.1342
Pt 1.9987 0.0000 1.9351
Pt 1.9987 0.0000 6.1342
Pt 1.9987 1.9987 0.0000
Pt 1.9987 1.9987 4.0346

# 24
5
Lattice="5.9151 0.0000 0.0000 0.0000 5.9151 0.0000 0.0000 0.0000 3.7865" Properties=species:S:1:pos:R:3 comment="Ba2GaIrN GGA-PBE relaxed" raw_formation_energy_mev_per_atom=-403 dos_ef_per_ev_cell=4.36 pbc="T T T"
Ba 0.0000 2.9576 0.0000
Ba 2.9576 0.0000 0.0000
Ga 0.0000 0.0000 1.8933
Ir 2.9576 2.9576 1.8933
N 2.9576 2.9576 0.0000

# 25
7
Lattice="4.3146 0.0000 0.0000 0.0000 4.3146 0.0000 0.0000 0.0000 8.1405" Properties=species:S:1:pos:R:3 comment="Mg5RhPb GGA-PBE relaxed" formation_energy_ev_per_atom=-0.1463 e_above_lowest_polymorph_mev_per_atom=87.4 dos_ef_per_ev_cell=2.69 pbc="T T T"
Mg 0.0000 0.0000 0.0000
Mg 0.0000 2.1573 1.9362
Mg 0.0000 2.1573 6.2043
Mg 2.1573 0.0000 1.9362
Mg 2.1573 0.0000 6.2043
Rh 2.1573 2.1573 0.0000
Pb 0.0000 0.0000 4.0703

| no. | magnetization (Bohr magnetons per cell) | E (eV/atom) |
| --- | --- | --- |
| 1 | 0.2 | -2.366 |
| 2 | 7.0 | -4.069 |
| 3 | 0.0 | -5.915 |
| 4 | 0.0 | -6.436 |
| 5 | 0.0 | -5.067 |
| 6 | 0.0 | -4.204 |
| 7 | 0.0 | -2.109 |
| 8 | 0.0 | -4.410 |
| 9 | 3.7 | -5.808 |
| 10 | 0.0 | -4.311 |
| 11 | 0.0 | -3.192 |
| 12 | 0.0 | -4.589 |
| 13 | 0.0 | -7.036 |
| 14 | 0.0 | -3.860 |
| 15 | 0.0 | -1.942 |
| 16 | 0.0 | -4.166 |
| 17 | 0.0 | -5.970 |
| 18 | 1.1 | -4.956 |
| 19 | 0.0 | -3.298 |
| 20 | 0.0 | -6.346 |
| 21 | 4.8 | -3.567 |
| 22 | 0.0 | -8.767 |
| 23 | 5.0 | -6.487 |
| 24 | 0.0 | -5.214 |
| 25 | 0.0 | -2.865 |